DFT (GGA-PBE) results for LaNd2HoEr2 after structural relaxation.

abc: 3.534 16.401 6.996
angles: 90.00 90.00 90.00
Element x y z (fractional)
Nd1 0.500 0.162 0.746
Er1 0.500 0.847 0.751
Ho1 0.500 0.500 0.000
Nd2 0.500 0.838 0.254
Er2 0.500 0.153 0.249
Er3 0.000 0.347 0.749
Er4 0.000 0.653 0.251
Nd3 0.000 0.338 0.246
Ho2 0.000 0.000 0.500
La1 0.500 0.500 0.500
Nd4 0.000 0.662 0.754
La2 0.000 0.000 0.000

Properties
* DFT formation energy: 87 kJ/mol of formula units
* volume: 202.7 Å³/f.u.
* density: 7.592 g/cm³